{
  "formula": "Li3VCrP2O8F2",
  "functional": "PBE with a Hubbard U",
  "state": "optimized geometry",
  "cell": [[5.377, 0.000, 0.000], [-0.370, 5.410, 0.000], [-2.465, -2.466, 6.678]],
  "species": ["Li", "Li", "Li", "V", "Cr", "P", "P", "O", "O", "O", "O", "O", "O", "O", "O", "F", "F"],
  "frac_coords": [[0.000, 0.000, 0.000], [0.005, 0.194, 0.376], [0.988, 0.809, 0.624], [0.497, 0.002, 0.501], [0.996, 0.501, 0.001], [0.392, 0.599, 0.750], [0.601, 0.404, 0.252], [0.182, 0.669, 0.850], [0.309, 0.319, 0.106], [0.322, 0.297, 0.627], [0.329, 0.751, 0.598], [0.664, 0.253, 0.405], [0.671, 0.706, 0.375], [0.684, 0.685, 0.896], [0.811, 0.334, 0.152], [0.153, 0.919, 0.258], [0.841, 0.084, 0.743]],
  "final_energy_ev_per_atom": -6.770
}